# CaYCr2Cu

A relaxed structure of CaYCr2Cu (PBE-GGA, Alexandria via LeMat-Bulk).

Summary:
density of states at the Fermi level = 3.7 states/eV per cell
energy of formation = 1.77 eV per atom

Cell lengths 4.919, 4.919, 5.672 Å; angles 90.00, 90.00, 90.00 degrees
Space group P4/mmm (No. 123)
Unique sites:
Ca (0.000, 0.000, 0.000)
Y (0.000, 0.000, 0.500)
Cr (0.000, 0.500, 0.500)
Cu (0.500, 0.500, 0.000)